No. 1
Compound: Sn2SbAu2
Source: the Alexandria database
Functional: PBE
Structure: relaxed

The structure in POSCAR format:
```
Sn2SbAu2
1.0
-2.532 0.642 -3.596
6.407 -2.685 -2.245
-3.052 -7.899 0.738
Sn Sb Au
4 2 4
direct
0.393 0.785 0.835
0.607 0.215 0.335
0.134 0.268 0.663
0.866 0.732 0.163
0.365 0.730 0.484
0.635 0.270 0.984
0.995 0.990 0.421
0.254 0.508 0.082
0.746 0.492 0.582
0.005 0.010 0.921
```

Properties
- E_form (uncorrected) (meV/atom) = -59
- spin magnetization (μB/atom) = 0.0000
- final energy (eV/atom) = -3.795
- energy relative to the lowest polymorph listed for this composition (meV per atom) = 14
- density of states at the Fermi level (states/eV/f.u.) = 1.41
- volume (Å³/atom) = 26.27

No. 2
Compound: Sn4SbAu5
Source: the Alexandria database
Functional: PBE
Structure: relaxed

The structure in POSCAR format:
```
Sn4SbAu5
1.0
-3.243 1.644 1.717
-1.919 -1.947 2.948
8.218 7.502 13.047
Sn Sb Au
4 1 5
direct
0.700 0.700 0.900
0.101 0.101 0.698
0.300 0.300 0.100
0.899 0.899 0.302
0.500 0.500 0.500
0.400 0.400 0.799
0.800 0.800 0.599
0.600 0.600 0.201
0.000 0.000 0.000
0.200 0.200 0.401
```

Properties
- E_form (uncorrected) (meV/atom) = -121
- spin magnetization (μB/atom) = 0.0000
- final energy (eV/atom) = -3.773
- density of states at the Fermi level (states/eV/f.u.) = 3.38
- volume (Å³/atom) = 23.78

No. 3
Compound: SnSbAu3
Source: the Alexandria database
Functional: PBE
Structure: relaxed

The structure in POSCAR format:
```
SnSbAu3
1.0
9.676 -1.591 0.000
-2.839 4.021 0.000
0.000 0.000 7.298
Au Sb Sn
6 2 2
direct
0.659 0.421 0.946
0.956 0.544 0.750
0.659 0.421 0.554
0.341 0.579 0.446
0.341 0.579 0.054
0.044 0.456 0.250
0.884 0.726 0.250
0.116 0.274 0.750
0.425 0.214 0.250
0.575 0.786 0.750
```

Properties
- E_form (uncorrected) (meV/atom) = -49
- spin magnetization (μB/atom) = 0.0000
- final energy (eV/atom) = -3.641
- energy relative to the lowest polymorph listed for this composition (meV per atom) = 0
- density of states at the Fermi level (states/eV/f.u.) = 1.60
- volume (Å³/atom) = 25.10

No. 4
Compound: SnSbAu2
Source: the Alexandria database
Functional: PBE
Structure: relaxed

The structure in POSCAR format:
```
SnSbAu2
1.0
7.703 0.000 0.000
0.000 7.703 0.000
3.852 3.852 3.198
Au Sn Sb
4 2 2
direct
0.124 0.625 0.250
0.626 0.125 0.250
0.875 0.876 0.750
0.375 0.374 0.750
0.250 0.750 0.500
0.500 0.500 0.000
0.750 0.250 0.500
0.000 0.000 0.000
```

Properties
- E_form (uncorrected) (meV/atom) = 12
- spin magnetization (μB/atom) = 0.0000
- final energy (eV/atom) = -3.658
- density of states at the Fermi level (states/eV/f.u.) = 1.77
- volume (Å³/atom) = 23.72